[1]
Material: TlCrAg2I6
Method: DFT, PBE-GGA
State: relaxed

a = 8.499 Å, b = 10.493 Å, c = 10.493 Å
α = 79.51°, β = 71.76°, γ = 71.76°
Sites, in units of the cell vectors:
Tl  0.250  0.852  0.148
Tl  0.750  0.148  0.852
Cr  0.250  0.190  0.810
Cr  0.750  0.810  0.190
Ag  0.351  0.620  0.502
Ag  0.149  0.498  0.380
Ag  0.649  0.380  0.498
Ag  0.851  0.502  0.620
I  0.187  0.965  0.811
I  0.313  0.189  0.035
I  0.813  0.035  0.189
I  0.687  0.811  0.965
I  0.464  0.867  0.383
I  0.036  0.617  0.133
I  0.536  0.133  0.617
I  0.964  0.383  0.867
I  0.989  0.730  0.542
I  0.511  0.458  0.270
I  0.011  0.270  0.458
I  0.489  0.542  0.730

**Raw formation energy**: -287 kJ/mol of formula units
**Symmetry**: C2/c

***

[2]
Material: CrInAg2
Method: DFT, PBE-GGA
State: relaxed

a = 9.498 Å, b = 9.498 Å, c = 9.498 Å
α = 18.72°, β = 18.72°, γ = 18.72°
Sites, in units of the cell vectors:
Ag  0.996  0.996  0.996
Ag  0.504  0.504  0.504
Cr  0.250  0.250  0.250
In  0.750  0.750  0.750

**Formation energy from the elements**: 9.36 kcal/mol of atoms
**Symmetry**: R-3m

***

[3]
Material: CrInAg
Method: DFT, PBE-GGA
State: relaxed

a = 5.164 Å, b = 5.164 Å, c = 3.570 Å
α = 69.78°, β = 69.78°, γ = 40.44°
Sites, in units of the cell vectors:
Ag  0.003  0.003  0.997
Cr  0.664  0.664  0.336
In  0.333  0.333  0.667

**E above lowest polymorph**: 0 meV/atom
**Formation energy from the elements**: 7.01 kcal/mol of atoms
**Symmetry**: I4mm

***

[4]
Material: CrIn2Ag2
Method: DFT, PBE-GGA
State: relaxed

a = 7.951 Å, b = 7.951 Å, c = 3.062 Å
α = 90.00°, β = 90.00°, γ = 90.00°
Sites, in units of the cell vectors:
Cr  0.000  0.000  0.000
Cr  0.500  0.500  0.000
Ag  0.377  0.877  0.000
Ag  0.877  0.623  0.000
Ag  0.623  0.123  0.000
Ag  0.123  0.377  0.000
In  0.178  0.678  0.500
In  0.678  0.822  0.500
In  0.822  0.322  0.500
In  0.322  0.178  0.500

**E above lowest polymorph**: 280 meV/atom
**Formation energy from the elements**: 14.25 kcal/mol of atoms
**Symmetry**: P4/mbm

***

[5]
Material: CrInAg2
Method: DFT, PBE-GGA
State: relaxed

a = 3.464 Å, b = 3.464 Å, c = 6.203 Å
α = 90.00°, β = 90.00°, γ = 90.00°
Sites, in units of the cell vectors:
Ag  0.000  0.000  0.007
Ag  0.500  0.500  0.255
Cr  0.000  0.000  0.493
In  0.500  0.500  0.745

**Formation energy from the elements**: 5.81 kcal/mol of atoms
**Symmetry**: P4mm

***

[6]
Material: CrIn2Ag2
Method: DFT, PBE-GGA
State: relaxed

a = 7.802 Å, b = 7.802 Å, c = 7.802 Å
α = 151.50°, β = 151.50°, γ = 40.75°
Sites, in units of the cell vectors:
Cr  0.000  0.000  0.000
In  0.600  0.600  0.000
In  0.400  0.400  0.000
Ag  0.250  0.750  0.500
Ag  0.750  0.250  0.500

**E above lowest polymorph**: 0 meV/atom
**Formation energy from the elements**: 7.79 kcal/mol of atoms
**Symmetry**: I4/mmm

***

[7]
Material: CrIn2Ag
Method: DFT, PBE-GGA
State: relaxed

a = 9.525 Å, b = 9.525 Å, c = 9.525 Å
α = 19.58°, β = 19.58°, γ = 19.58°
Sites, in units of the cell vectors:
Ag  0.495  0.495  0.495
Cr  0.753  0.753  0.753
In  0.007  0.007  0.007
In  0.246  0.246  0.246

**E above lowest polymorph**: 125 meV/atom
**Formation energy from the elements**: 7.92 kcal/mol of atoms
**Symmetry**: R3m

***

[8]
Material: CrInAg2
Method: DFT, PBE-GGA
State: relaxed

a = 5.079 Å, b = 5.761 Å, c = 2.987 Å
α = 76.13°, β = 87.47°, γ = 115.43°
Sites, in units of the cell vectors:
Ag  0.000  0.000  0.000
Ag  0.500  0.000  0.500
Cr  0.000  0.500  0.500
In  0.500  0.500  0.000

**Formation energy from the elements**: 6.51 kcal/mol of atoms
**Symmetry**: C2/m

***

[9]
Material: CrInAg2
Method: DFT, PBE-GGA
State: relaxed

a = 4.709 Å, b = 4.709 Å, c = 4.709 Å
α = 60.00°, β = 60.00°, γ = 60.00°
Sites, in units of the cell vectors:
Ag  0.000  0.000  0.000
Ag  0.750  0.750  0.750
Cr  0.500  0.500  0.500
In  0.250  0.250  0.250

**Formation energy from the elements**: 5.17 kcal/mol of atoms
**Symmetry**: F-43m

***

[10]
Material: CrIn2Ag
Method: DFT, PBE-GGA
State: relaxed

a = 4.635 Å, b = 4.635 Å, c = 3.675 Å
α = 90.00°, β = 90.00°, γ = 90.00°
Sites, in units of the cell vectors:
Ag  0.500  0.000  0.500
Cr  0.000  0.500  0.500
In  0.000  0.000  0.000
In  0.500  0.500  0.000

**E above lowest polymorph**: 0 meV/atom
**Formation energy from the elements**: 5.04 kcal/mol of atoms
**Symmetry**: P4/mmm

***

[11]
Material: CrInAg2
Method: DFT, PBE-GGA
State: relaxed

a = 5.099 Å, b = 5.099 Å, c = 5.102 Å
α = 78.28°, β = 78.28°, γ = 35.50°
Sites, in units of the cell vectors:
Ag  0.001  0.001  0.998
Ag  0.752  0.752  0.745
Cr  0.499  0.499  0.505
In  0.248  0.248  0.251

**Formation energy from the elements**: 6.02 kcal/mol of atoms
**Symmetry**: Cm

***

[12]
Material: CrIn2Ag
Method: DFT, PBE-GGA
State: relaxed

a = 5.671 Å, b = 5.671 Å, c = 5.671 Å
α = 146.25°, β = 122.98°, γ = 67.92°
Sites, in units of the cell vectors:
Ag  0.750  0.250  0.500
Cr  0.250  0.750  0.500
In  0.000  0.000  0.000
In  0.500  0.500  0.000

**E above lowest polymorph**: 94 meV/atom
**Formation energy from the elements**: 7.20 kcal/mol of atoms
**Symmetry**: Immm

***

[13]
Material: CrInAg2
Method: DFT, PBE-GGA
State: relaxed

a = 3.508 Å, b = 3.508 Å, c = 6.177 Å
α = 90.00°, β = 90.00°, γ = 90.06°
Sites, in units of the cell vectors:
Ag  0.000  0.000  0.017
Ag  0.000  0.000  0.483
Cr  0.500  0.500  0.250
In  0.500  0.500  0.750

**Formation energy from the elements**: 6.29 kcal/mol of atoms
**Symmetry**: P4/mmm

***

[14]
Material: CrIn2Ag
Method: DFT, PBE-GGA
State: relaxed

a = 7.812 Å, b = 7.812 Å, c = 6.265 Å
α = 51.43°, β = 51.43°, γ = 90.00°
Sites, in units of the cell vectors:
Cr  0.500  0.500  0.000
Cr  0.250  0.750  0.500
Ag  0.000  0.000  0.000
Ag  0.750  0.250  0.500
In  0.630  0.125  0.250
In  0.120  0.625  0.250
In  0.375  0.370  0.750
In  0.875  0.880  0.750

**E above lowest polymorph**: 232 meV/atom
**Formation energy from the elements**: 10.39 kcal/mol of atoms
**Symmetry**: I-42d

***

[15]
Material: CrIn2Ag
Method: DFT, PBE-GGA
State: relaxed

a = 3.145 Å, b = 3.145 Å, c = 7.786 Å
α = 90.00°, β = 90.00°, γ = 89.99°
Sites, in units of the cell vectors:
Ag  0.500  0.500  0.250
Cr  0.500  0.500  0.750
In  0.000  0.000  0.982
In  0.000  0.000  0.518

**E above lowest polymorph**: 2 meV/atom
**Formation energy from the elements**: 5.08 kcal/mol of atoms
**Symmetry**: P4/mmm

***

[16]
Material: CrIn2Ag
Method: DFT, PBE-GGA
State: relaxed

a = 9.339 Å, b = 9.339 Å, c = 9.339 Å
α = 19.87°, β = 19.87°, γ = 19.87°
Sites, in units of the cell vectors:
Ag  0.250  0.250  0.250
Cr  0.750  0.750  0.750
In  0.002  0.002  0.002
In  0.498  0.498  0.498

**E above lowest polymorph**: 70 meV/atom
**Formation energy from the elements**: 6.65 kcal/mol of atoms
**Symmetry**: R-3m

***

[17]
Material: CrIn2Ag
Method: DFT, PBE-GGA
State: relaxed

a = 3.226 Å, b = 3.226 Å, c = 8.055 Å
α = 90.00°, β = 90.00°, γ = 90.01°
Sites, in units of the cell vectors:
Ag  0.000  0.000  0.526
Cr  0.500  0.500  0.735
In  0.000  0.000  0.963
In  0.500  0.500  0.276

**E above lowest polymorph**: 65 meV/atom
**Formation energy from the elements**: 6.53 kcal/mol of atoms
**Symmetry**: P4mm

***

[18]
Material: CrInAg
Method: DFT, PBE-GGA
State: relaxed

a = 4.672 Å, b = 4.672 Å, c = 3.041 Å
α = 90.00°, β = 90.00°, γ = 120.00°
Sites, in units of the cell vectors:
Ag  0.000  0.000  0.839
Cr  0.333  0.667  0.334
In  0.667  0.333  0.828

**E above lowest polymorph**: 21 meV/atom
**Formation energy from the elements**: 7.48 kcal/mol of atoms
**Symmetry**: P3m1

***

[19]
Material: CrInAg2
Method: DFT, PBE-GGA
State: relaxed

a = 4.910 Å, b = 2.965 Å, c = 5.166 Å
α = 86.55°, β = 90.00°, γ = 90.00°
Sites, in units of the cell vectors:
Ag  0.000  0.992  0.009
Ag  0.000  0.508  0.491
Cr  0.500  0.250  0.250
In  0.500  0.750  0.750

**Formation energy from the elements**: 6.32 kcal/mol of atoms
**Symmetry**: P2/m

***

[20]
Material: CrIn2Ag
Method: DFT, PBE-GGA
State: relaxed

a = 5.369 Å, b = 5.369 Å, c = 5.369 Å
α = 133.58°, β = 133.58°, γ = 67.74°
Sites, in units of the cell vectors:
Ag  0.500  0.500  0.000
Cr  0.750  0.250  0.500
In  0.000  0.000  0.000
In  0.250  0.750  0.500

**E above lowest polymorph**: 9 meV/atom
**Formation energy from the elements**: 5.24 kcal/mol of atoms
**Symmetry**: I-4m2

***

The calculation returns the following N(E_F) values, one per record and in order: 0.63 3.24 0.99 4.57 2.26 1.68 2.17 1.72 2.14 1.58 2.01 2.10 1.93 2.31 1.89 2.11 1.77 1.45 1.67 1.57 states/eV/f.u..